The following is a DFT calculation (meta-GGA SCAN) of a PBEsol-optimized structure of BeTlZn2.

- formation energy (eV per formula unit) = 1.834
- calculated total energy (eV/f.u.) = -101.91

abc: 2.846 5.350 5.350
angles: 61.39 74.58 74.58
Element x y z (fractional)
Be  0.478  0.522  0.522
Tl  0.235  0.265  0.265
Zn  0.021  0.979  0.979
Zn  0.766  0.734  0.734

---

The following is a DFT calculation (meta-GGA SCAN) of a PBEsol-optimized structure of BeTl2Zn.

- formation energy (eV per formula unit) = 2.102
- calculated total energy (eV/f.u.) = -160.48

abc: 3.295 3.295 7.645
angles: 90.00 90.00 103.75
Element x y z (fractional)
Be  0.500  0.500  0.000
Tl  0.000  0.000  0.228
Tl  0.000  0.000  0.772
Zn  0.500  0.500  0.500

---

Number 1: calculated density 8.40 g/cm3, polymorph energy (0 for the lowest one) 169 meV per atom. Number 2: calculated density 9.95 g/cm3, polymorph energy (0 for the lowest one) 211 meV per atom.